The following is a PBE-GGA calculation of a relaxed IrWBr2 crystal, from Alexandria via LeMat-Bulk.

POSCAR file:
```
IrWBr2
1.0
1.793 0.000 8.831
-0.896 1.553 8.831
-0.896 -1.553 8.831
Ir Br W
1 2 1
direct
0.000 0.000 0.000 Ir
0.907 0.907 0.907 Br
0.093 0.093 0.093 Br
0.500 0.500 0.500 W
```

Properties
DFT total energy in hartree per atom: -0.197
Formation energy from raw total energies in eV/f.u.: 3.71
Fermi-level density of states in states/eV/cell: 3.143
Magnetic moment in μB/f.u.: 0.0
V in Å³/cell: 74
Space group: No. 166

***

The following is a PBE-GGA calculation of a relaxed CeThTe2Cl crystal, from Alexandria via LeMat-Bulk.

POSCAR file:
```
CeThTe2Cl
1.0
-1.056 -3.905 1.759
3.600 0.172 2.543
-7.989 7.041 10.833
Ce Th Te Cl
2 2 4 2
direct
0.500 0.000 0.633 Ce
0.000 0.500 0.367 Ce
0.500 0.000 0.084 Th
0.000 0.500 0.916 Th
0.000 0.500 0.703 Te
0.000 0.500 0.132 Te
0.500 0.000 0.868 Te
0.500 0.000 0.297 Te
0.000 0.000 0.500 Cl
0.500 0.500 0.500 Cl
```

Properties
DFT total energy in hartree per atom: -0.212
Formation energy from raw total energies in eV/f.u.: -7.40
Fermi-level density of states in states/eV/cell: 18.643
Magnetic moment in μB/f.u.: 1.2
V in Å³/cell: 296
Space group: No. 129

***

The following is a PBE-GGA calculation of a relaxed SrTlZnGa crystal, from Alexandria via LeMat-Bulk.

POSCAR file:
```
SrTlZnGa
1.0
-3.736 -2.594 -2.591
0.873 -1.655 -4.888
0.557 -5.113 -0.972
Sr Tl Zn Ga
1 1 1 1
direct
0.750 0.750 0.750 Sr
0.250 0.250 0.250 Tl
0.500 0.500 0.500 Zn
0.000 0.000 0.000 Ga
```

Properties
DFT total energy in hartree per atom: -0.082
Fermi-level density of states in states/eV/cell: 1.238
Magnetic moment in μB/f.u.: 0.0
V in Å³/cell: 101
Space group: No. 216
Formation enthalpy at 0 K in meV per atom: -154

***

Q: Which of these has the lowest Fermi-level density of states?
A: SrTlZnGa

***

Repeat the third record exactly.
The following is a PBE-GGA calculation of a relaxed SrTlZnGa crystal, from Alexandria via LeMat-Bulk.

POSCAR file:
```
SrTlZnGa
1.0
-3.736 -2.594 -2.591
0.873 -1.655 -4.888
0.557 -5.113 -0.972
Sr Tl Zn Ga
1 1 1 1
direct
0.750 0.750 0.750 Sr
0.250 0.250 0.250 Tl
0.500 0.500 0.500 Zn
0.000 0.000 0.000 Ga
```

Properties
DFT total energy in hartree per atom: -0.082
Fermi-level density of states in states/eV/cell: 1.238
Magnetic moment in μB/f.u.: 0.0
V in Å³/cell: 101
Space group: No. 216
Formation enthalpy at 0 K in meV per atom: -154

***

Q: Which formula does entry 3 have?
A: SrTlZnGa